{
  "formula": "Sc2TlMoO",
  "functional": "GGA+U",
  "state": "relaxed",
  "lattice": [[4.359, 0.000, 0.000], [0.000, 4.359, 0.000], [0.000, 0.000, 4.529]],
  "species": ["Sc", "Sc", "Tl", "Mo", "O"],
  "fractional_positions": [[0.000, 0.500, 0.000], [0.500, 0.000, 0.000], [0.000, 0.000, 0.500], [0.500, 0.500, 0.500], [0.500, 0.500, 0.000]],
  "dft_energy_ev_per_atom": -6.2031,
  "m_tot_mub_per_atom": 0.241,
  "volume_a3_per_cell": 86.0
}